(1)
K2AgF | PBE-GGA | optimized geometry

Lattice parameters (Å, degrees): 3.456 3.456 8.179 90.00 90.00 90.00
Fractional positions:
Ag: 0.500 0.500 0.500
K: 0.000 0.000 0.195
F: 0.500 0.500 0.000
K: 0.000 0.000 0.805

Computed properties:
As for the crystal system: tetragonal. For the density of states at the Fermi level, the calculation gives 0.13 states/eV per atom. The uncorrected formation energy comes out at -1.1937 eV/atom. The space group is P4/mmm. The value obtained for the energy above the most stable polymorph in this dataset is 18.1 kJ/mol of formula units. The uncorrected energy comes out at -2.92 eV/atom.

***

(2)
ZrMo2Pb | PBE-GGA | optimized geometry

Lattice parameters (Å, degrees): 3.495 3.495 6.347 90.00 90.00 90.00
Fractional positions:
Mo: 0.000 0.000 0.011
Pb: 0.000 0.000 0.486
Mo: 0.500 0.500 0.226
Zr: 0.500 0.500 0.777

Computed properties:
The formation energy from the elements is 236 meV per atom. As for the crystal system: tetragonal. For the density of states at the Fermi level, the calculation gives 0.84 states/eV per atom. The space group is P4mm. The uncorrected energy comes out at -8.24 eV/atom.

***

(3)
SrGeH2Cl | PBE-GGA | optimized geometry

Lattice parameters (Å, degrees): 4.323 7.369 4.323 90.00 90.00 90.00
Last column: magnetic moment on the atom in μB.
Fractional positions:
Ge: 0.000 0.500 0.000  0.40
Cl: 0.500 0.500 0.500  0.01
Sr: 0.000 0.000 0.000  0.04
H: 0.000 0.000 0.500  0.02
H: 0.500 0.000 0.000  0.04

Computed properties:
As for the crystal system: tetragonal. For the density of states at the Fermi level, the calculation gives 0.39 states/eV per atom. The space group is P4/mmm. The uncorrected energy comes out at -2.85 eV/atom.

***

(4)
Ac2CdGa3Rh4 | PBE-GGA | optimized geometry

Lattice parameters (Å, degrees): 4.399 4.399 10.643 90.00 90.00 90.00
Fractional positions:
Rh: 0.000 0.500 0.353
Ga: 0.000 0.000 0.500
Rh: 0.000 0.000 0.000
Ga: 0.000 0.500 0.114
Rh: 0.500 0.500 0.000
Cd: 0.500 0.500 0.500
Ac: 0.000 0.500 0.763
Ac: 0.500 0.000 0.237
Rh: 0.500 0.000 0.647
Ga: 0.500 0.000 0.886

Computed properties:
The formation energy from the elements is -701 meV per atom. As for the crystal system: tetragonal. For the density of states at the Fermi level, the calculation gives 0.58 states/eV per atom. The space group is P-4m2. The uncorrected energy comes out at -5.46 eV/atom.

***

(5)
SiPSe2 | PBE-GGA | optimized geometry

Lattice parameters (Å, degrees): 3.549 7.195 3.612 90.00 90.00 90.00
Fractional positions:
Se: 0.000 0.000 0.000
Se: 0.500 0.500 0.000
Si: 0.500 0.000 0.500
P: 0.000 0.500 0.500

Computed properties:
As for the crystal system: orthorhombic. For the density of states at the Fermi level, the calculation gives 0.32 states/eV per atom. The uncorrected formation energy comes out at 0.4423 eV/atom. The space group is Pmmm. The value obtained for the energy above the most stable polymorph in this dataset is 204.1 kJ/mol of formula units. The uncorrected energy comes out at -4.01 eV/atom.

***

(6)
Sr2GaPb2 | PBE-GGA | optimized geometry

Lattice parameters (Å, degrees): 4.599 6.651 6.650 63.72 69.80 69.80
Fractional positions:
Sr: 0.712 0.788 0.288
Pb: 0.000 0.239 0.261
Sr: 0.288 0.212 0.712
Pb: 0.000 0.761 0.739
Ga: 0.500 0.500 0.000

Computed properties:
The formation energy from the elements is -389 meV per atom. As for the crystal system: orthorhombic. For the density of states at the Fermi level, the calculation gives 0.43 states/eV per atom. The space group is Immm. The value obtained for the energy above the most stable polymorph in this dataset is 0.0 kJ/mol of formula units. The uncorrected energy comes out at -3.15 eV/atom.

***

(7)
CaReBr2 | PBE-GGA | optimized geometry

Lattice parameters (Å, degrees): 4.475 3.434 7.287 76.08 90.00 90.00
Last column: magnetic moment on the atom in μB.
Fractional positions:
Br: 0.500 0.146 0.339  0.06
Br: 0.000 0.866 0.888  0.05
Re: 0.500 0.936 0.751  1.71
Ca: 0.000 0.552 0.522  0.00

Computed properties:
As for the crystal system: monoclinic. For the density of states at the Fermi level, the calculation gives 0.69 states/eV per atom. The uncorrected formation energy comes out at 0.1260 eV/atom. The space group is Pm. The value obtained for the energy above the most stable polymorph in this dataset is 61.5 kJ/mol of formula units. The uncorrected energy comes out at -4.32 eV/atom.

***

(8)
TbDy2Tm8 | PBE-GGA | optimized geometry

Lattice parameters (Å, degrees): 4.939 7.825 9.260 104.70 105.47 90.00
Fractional positions:
Tb: 0.500 0.000 0.000
Tm: 0.591 0.455 0.181
Tm: 0.955 0.273 0.910
Tm: 0.409 0.545 0.819
Tm: 0.318 0.091 0.636
Tm: 0.682 0.909 0.364
Dy: 0.773 0.363 0.545
Dy: 0.227 0.637 0.455
Tm: 0.864 0.818 0.727
Tm: 0.136 0.182 0.273
Tm: 0.045 0.727 0.090

Computed properties:
The formation energy from the elements is 24 meV per atom. As for the crystal system: monoclinic. For the density of states at the Fermi level, the calculation gives 1.29 states/eV per atom. The space group is C2/m. The value obtained for the energy above the most stable polymorph in this dataset is 0.0 kJ/mol of formula units. The uncorrected energy comes out at -4.49 eV/atom.

***

> The highest uncorrected energy belongs to which entry?

SrGeH2Cl